Record 1
6
Lattice="0.0000 3.9643 3.9643 3.9643 0.0000 3.9643 3.9643 3.9643 0.0000" Properties=species:S:1:pos:R:3 comment="KLiAg4 (GGA-PBEsol, relaxed)" magmom_total_mub_per_atom=0.00 formation_enthalpy_0k_ev_per_atom=0.020 dos_ef_per_ev_fu=1.385 pbc="T T T"
K 0.0000 0.0000 0.0000
Li 5.9464 5.9464 5.9464
Ag 2.9775 2.9775 2.9775
Ag 4.9510 4.9510 2.9775
Ag 4.9510 2.9775 4.9510
Ag 2.9775 4.9510 4.9510



Record 2
6
Lattice="3.6572 0.0000 0.0000 0.0000 3.6572 0.0000 0.0000 0.0000 12.2155" Properties=species:S:1:pos:R:3 comment="KLiAg (GGA-PBEsol, relaxed)" magmom_total_mub_per_atom=0.00 formation_enthalpy_0k_ev_per_atom=0.076 dos_ef_per_ev_fu=1.421 pbc="T T T"
K 0.0000 0.0000 0.0000
K 1.8286 1.8286 6.1078
Li 0.0000 0.0000 3.2633
Li 1.8286 1.8286 9.3711
Ag 0.0000 0.0000 8.6085
Ag 1.8286 1.8286 2.5008



Record 3
12
Lattice="4.6365 0.0000 0.0000 -2.3182 4.0153 0.0000 0.0000 0.0000 17.8034" Properties=species:S:1:pos:R:3 comment="KLiAg2 (GGA-PBEsol, relaxed)" magmom_total_mub_per_atom=0.00 formation_enthalpy_0k_ev_per_atom=0.017 dos_ef_per_ev_fu=1.402 pbc="T T T"
K 0.0000 0.0000 0.0000
K 0.0000 2.6769 11.8690
K 2.3182 1.3384 5.9345
Li 0.0000 0.0000 8.9017
Li 0.0000 2.6769 2.9672
Li 2.3182 1.3384 14.8362
Ag 0.0000 0.0000 3.3017
Ag 0.0000 0.0000 14.5017
Ag 0.0000 2.6769 8.5673
Ag 0.0000 2.6769 15.1706
Ag 2.3182 1.3384 2.6328
Ag 2.3182 1.3384 9.2362



Record 4
5
Lattice="5.0745 0.0000 0.0000 0.0000 5.0745 0.0000 0.0000 0.0000 5.0621" Properties=species:S:1:pos:R:3 comment="KLiMnAg2 (GGA-PBEsol, relaxed)" magmom_total_mub_per_atom=0.85 formation_enthalpy_0k_ev_per_atom=0.607 dos_ef_per_ev_fu=3.342 pbc="T T T"
K 0.0000 0.0000 0.0000
Li 2.5373 2.5373 0.0000
Mn 2.5373 2.5373 2.5311
Ag 0.0000 2.5373 2.5311
Ag 2.5373 0.0000 2.5311



Record 5
10
Lattice="4.1328 0.0000 0.0000 0.0000 4.1328 0.0000 0.0000 0.0000 21.3418" Properties=species:S:1:pos:R:3 comment="K2Mg2Ag (GGA-PBEsol, relaxed)" magmom_total_mub_per_atom=0.00 formation_enthalpy_0k_ev_per_atom=0.260 dos_ef_per_ev_fu=2.493 pbc="T T T"
K 0.0000 0.0000 1.9621
K 0.0000 0.0000 19.3797
K 2.0664 2.0664 8.7088
K 2.0664 2.0664 12.6330
Mg 0.0000 2.0664 5.3354
Mg 0.0000 2.0664 16.0063
Mg 2.0664 0.0000 5.3354
Mg 2.0664 0.0000 16.0063
Ag 0.0000 0.0000 10.6709
Ag 2.0664 2.0664 0.0000



Record 6
5
Lattice="5.2603 0.0000 0.0000 0.0000 5.2603 0.0000 0.0000 0.0000 5.2603" Properties=species:S:1:pos:R:3 comment="KMg3Ag (GGA-PBEsol, relaxed)" magmom_total_mub_per_atom=0.00 formation_enthalpy_0k_ev_per_atom=0.070 dos_ef_per_ev_fu=2.439 pbc="T T T"
K 0.0000 0.0000 0.0000
Mg 0.0000 2.6301 2.6301
Mg 2.6301 0.0000 2.6301
Mg 2.6301 2.6301 0.0000
Ag 2.6301 2.6301 2.6301